LiNd2Co | GGA-PBE | relaxed

Unit cell a=6.742 b=3.874 c=8.950 alpha=90.00 beta=104.04 gamma=90.00
Space group C2 (No. 5)
Unique sites:
Li: 0.000 0.000 0.000 [2 per cell]
Nd: 0.226 0.998 0.680 [4 per cell]
Co: 0.000 0.498 0.500 [2 per cell]

Computed properties:
DFT formation energy, eV per atom: 0.0523
Calculated total energy, eV per atom: -4.587